Material: YBeFe2
Method: DFT, PBE-GGA
State: relaxed

Values from the calculation:
E_form	133.2	meV/atom
SG	P4mm
density of states at the Fermi level	3.894	states/eV/cell
energy	-6.646	eV per atom

Unit cell a=3.0492 b=3.0478 c=6.3523 alpha=90.00 beta=90.00 gamma=90.00
With the nearest neighbours (Å) after each atom.
Element x y z (fractional)
Fe  0.5000  0.5000  0.1840  1 Be 2.26, 4 Fe 2.48
Fe  0.0000  0.0000  0.9907  4 Be 2.39, 4 Fe 2.48
Be  0.5000  0.5000  0.8279  5 Fe 2.26-2.39
Y  0.0000  0.0000  0.4975  6 Fe 2.93-3.22, 4 Be 3.01, 4 Y 3.05